Record 1
{"formula": "Nb5VW2", "functional": "PBE-GGA", "state": "relaxed", "dos_ef_per_ev_fu": 11.10, "e_form_ev_per_atom": -0.005, "energy_ev_per_atom": -10.68, "lattice_angstrom": [[4.2911, 0.0000, -1.6091], [-0.6034, 4.2485, -1.6091], [0.2822, 0.3251, 7.2789]], "species": ["Nb", "Nb", "W", "Nb", "V", "Nb", "Nb", "W"], "frac_coords": [[0.5000, 0.5000, 0.0000], [0.8738, 0.3738, 0.7476], [0.7512, 0.7512, 0.5023], [0.3738, 0.8738, 0.7476], [0.0000, 0.0000, 0.0000], [0.6262, 0.1262, 0.2524], [0.1262, 0.6262, 0.2524], [0.2488, 0.2488, 0.4977]]}

---

Record 2
{"formula": "Ho5Te5H2", "functional": "PBE-GGA", "state": "relaxed", "dos_ef_per_ev_fu": 4.89, "energy_ev_per_atom": -4.87, "lattice_angstrom": [[-2.2250, -0.1912, -3.2435], [2.3636, -7.7723, 1.2272], [-8.6339, 6.4091, 5.5451]], "species": ["Ho", "Ho", "Te", "Ho", "Te", "Ho", "H", "Te", "Te", "Ho", "H", "Te"], "frac_coords": [[0.0477, 0.0954, 0.3480], [0.9523, 0.9046, 0.6520], [0.6069, 0.2138, 0.9317], [0.2810, 0.5620, 0.1948], [0.3047, 0.6094, 0.6866], [0.0000, 0.0000, 0.0000], [0.1336, 0.2672, 0.7603], [0.5000, 0.0000, 0.5000], [0.3931, 0.7862, 0.0683], [0.7190, 0.4380, 0.8052], [0.8664, 0.7328, 0.2397], [0.6953, 0.3906, 0.3134]]}

---

Record 3
{"formula": "NiOsRu2", "functional": "PBE-GGA", "state": "relaxed", "dos_ef_per_ev_fu": 6.46, "e_form_ev_per_atom": 0.496, "energy_ev_per_atom": -8.39, "relative_energy_ev_per_fu": 1.65, "lattice_angstrom": [[-0.6446, 0.9302, 2.4032], [-1.8330, 0.1184, -1.9188], [-2.9757, -8.1133, 2.3423]], "species": ["Os", "Ru", "Ni", "Ru"], "frac_coords": [[0.5000, 0.5000, 0.7500], [0.0000, 0.0000, 0.0076], [0.5000, 0.5000, 0.2500], [0.0000, 0.0000, 0.4924]]}

---

Record 4
{"formula": "Cs2Hg2Cl5", "functional": "PBE-GGA", "state": "relaxed", "dos_ef_per_ev_fu": 0.75, "energy_ev_per_atom": -2.45, "formation_energy_uncorrected_mev_per_atom": -1170, "relative_energy_ev_per_fu": 0.00, "lattice_angstrom": [[-0.4777, 5.3591, -0.6419], [-1.7181, -0.7614, -5.0822], [-10.1704, -0.4860, 3.5109]], "species": ["Hg", "Cl", "Cl", "Cl", "Cs", "Cs", "Hg", "Cl", "Cl"], "frac_coords": [[0.5370, 0.5370, 0.2419], [0.0371, 0.5372, 0.2174], [0.5372, 0.0371, 0.2174], [0.5372, 0.0371, 0.7826], [0.0385, 0.0385, 0.5000], [0.0377, 0.0377, 0.0000], [0.5370, 0.5370, 0.7581], [0.5371, 0.5371, 0.5000], [0.0371, 0.5372, 0.7826]]}

---

Record 5
{"formula": "Cr2CuAg", "functional": "PBE-GGA", "state": "relaxed", "dos_ef_per_ev_fu": 4.55, "e_form_ev_per_atom": 0.552, "energy_ev_per_atom": -6.00, "relative_energy_ev_per_fu": 1.06, "lattice_angstrom": [[-0.8110, -2.5438, 4.2865], [3.3276, -3.4039, 1.6861], [-0.5722, 4.8019, -1.4549]], "species": ["Cr", "Ag", "Cu", "Cr"], "frac_coords": [[0.0056, 0.0056, 0.0000], [0.7500, 0.2500, 0.5000], [0.2500, 0.7500, 0.5000], [0.4944, 0.4944, 0.0000]]}

---

Record 6
{"formula": "Cs2K17Na2", "functional": "PBE-GGA", "state": "relaxed", "dos_ef_per_ev_fu": 16.31, "e_form_ev_per_atom": 0.043, "energy_ev_per_atom": -1.05, "lattice_angstrom": [[11.3188, 0.1460, 1.4100], [1.2279, 11.8968, 1.6292], [0.0756, 0.4937, 12.0601]], "species": ["K", "K", "K", "K", "K", "Na", "K", "K", "K", "Cs", "K", "K", "Na", "K", "K", "K", "Cs", "K", "K", "K", "K"], "frac_coords": [[0.1061, 0.1046, 0.1046], [0.0000, 0.5000, 0.0000], [0.8939, 0.8954, 0.8954], [0.1863, 0.6728, 0.6728], [0.2468, 0.0272, 0.7382], [0.5000, 0.0000, 0.5000], [0.3409, 0.8239, 0.3429], [0.0000, 0.6515, 0.3485], [0.8137, 0.3272, 0.3272], [0.3365, 0.3224, 0.3224], [0.6591, 0.6571, 0.1761], [0.3409, 0.3429, 0.8239], [0.5000, 0.5000, 0.0000], [0.5000, 0.0000, 0.0000], [0.2468, 0.7382, 0.0272], [0.6591, 0.1761, 0.6571], [0.6635, 0.6776, 0.6776], [0.7532, 0.2618, 0.9728], [0.0000, 0.0000, 0.5000], [0.7532, 0.9728, 0.2618], [0.0000, 0.3485, 0.6515]]}

---

Record 7
{"formula": "V4SiAs", "functional": "PBE-GGA", "state": "relaxed", "dos_ef_per_ev_fu": 3.76, "energy_ev_per_atom": -8.13, "formation_energy_uncorrected_mev_per_atom": -371, "lattice_angstrom": [[-3.9324, 1.0327, -2.0951], [-0.9421, -3.8783, 5.0309], [4.2289, 6.0508, 2.5858]], "species": ["V", "Si", "V", "Si", "V", "V", "V", "As", "V", "As", "V", "V"], "frac_coords": [[0.3764, 0.6207, 0.9144], [0.3668, 0.6224, 0.2442], [0.6236, 0.3793, 0.0856], [0.6332, 0.3776, 0.7558], [0.1238, 0.8758, 0.0835], [0.6232, 0.3748, 0.4168], [0.8718, 0.1282, 0.5853], [0.1216, 0.8741, 0.7463], [0.8762, 0.1242, 0.9165], [0.8784, 0.1259, 0.2537], [0.3768, 0.6252, 0.5832], [0.1282, 0.8718, 0.4147]]}

---

Record 8
{"formula": "MgCuRuC", "functional": "PBE-GGA", "state": "relaxed", "dos_ef_per_ev_fu": 0.85, "e_form_ev_per_atom": 0.307, "energy_ev_per_atom": -5.74, "relative_energy_ev_per_fu": 0.33, "lattice_angstrom": [[-1.8494, -1.4422, -2.3462], [3.0451, -1.1451, 0.6489], [-7.2240, -11.8541, 12.9812]], "species": ["Ru", "Ru", "Cu", "Mg", "Cu", "Mg", "C", "Cu", "C", "Ru", "Mg", "C"], "frac_coords": [[0.3333, 0.6667, 0.0420], [0.0000, 0.0000, 0.3753], [0.6667, 0.3333, 0.1530], [0.6667, 0.3333, 0.9227], [0.3333, 0.6667, 0.4863], [0.3333, 0.6667, 0.2560], [0.3333, 0.6667, 0.3811], [0.0000, 0.0000, 0.8197], [0.6667, 0.3333, 0.0478], [0.6667, 0.3333, 0.7087], [0.0000, 0.0000, 0.5894], [0.0000, 0.0000, 0.7144]]}

---

Record 9
{"formula": "ZrTaCr2", "functional": "PBE-GGA", "state": "relaxed", "dos_ef_per_ev_fu": 5.17, "e_form_ev_per_atom": 0.470, "energy_ev_per_atom": -9.44, "relative_energy_ev_per_fu": 1.32, "lattice_angstrom": [[8.3384, -0.0039, -0.0023], [7.7775, 3.0065, -0.0023], [7.7775, 1.4490, 2.6342]], "species": ["Ta", "Zr", "Cr", "Cr"], "frac_coords": [[0.2500, 0.2500, 0.2500], [0.7500, 0.7500, 0.7500], [0.5045, 0.5045, 0.5045], [0.9955, 0.9955, 0.9955]]}

---

Record 10
{"formula": "NdYMnAl", "functional": "PBE-GGA", "state": "relaxed", "dos_ef_per_ev_fu": 4.48, "e_form_ev_per_atom": -0.043, "energy_ev_per_atom": -6.08, "lattice_angstrom": [[5.1746, 0.0000, 0.0000], [2.5873, 4.4813, 0.0000], [2.5873, 1.4938, 4.2250]], "species": ["Y", "Al", "Nd", "Mn"], "frac_coords": [[0.2500, 0.2500, 0.2500], [0.0000, 0.0000, 0.0000], [0.7500, 0.7500, 0.7500], [0.5000, 0.5000, 0.5000]]}

---

Record 11
{"formula": "Sr3TeS2", "functional": "PBE-GGA", "state": "relaxed", "dos_ef_per_ev_fu": 0.00, "energy_ev_per_atom": -4.71, "formation_energy_uncorrected_mev_per_atom": -1966, "lattice_angstrom": [[4.2474, 0.0000, -1.2034], [-0.6653, 5.8682, -2.3483], [-0.1099, -0.3690, 7.7096]], "species": ["Sr", "Sr", "Te", "Sr", "S", "S"], "frac_coords": [[0.0000, 0.0000, 0.0000], [0.3173, 0.3173, 0.6346], [0.0000, 0.5000, 0.0000], [0.6827, 0.6827, 0.3654], [0.6652, 0.1652, 0.3305], [0.3348, 0.8348, 0.6695]]}

---

Record 12
{"formula": "YAg2Rh2", "functional": "PBE-GGA", "state": "relaxed", "dos_ef_per_ev_fu": 4.75, "e_form_ev_per_atom": -0.073, "energy_ev_per_atom": -5.45, "relative_energy_ev_per_fu": 0.15, "lattice_angstrom": [[-6.2836, -1.9045, 2.9332], [0.8924, -6.7049, -2.4418], [1.7033, -0.8914, 3.0701]], "species": ["Ag", "Y", "Y", "Rh", "Rh", "Ag", "Ag", "Rh", "Rh", "Ag"], "frac_coords": [[0.8376, 0.3376, 0.5000], [0.0000, 0.0000, 0.0000], [0.5000, 0.5000, 0.0000], [0.3672, 0.8672, 0.0000], [0.1328, 0.3672, 0.0000], [0.3376, 0.1624, 0.5000], [0.1624, 0.6624, 0.5000], [0.8672, 0.6328, 0.0000], [0.6328, 0.1328, 0.0000], [0.6624, 0.8376, 0.5000]]}

---

Record 13
{"formula": "In4As3", "functional": "PBE-GGA", "state": "relaxed", "dos_ef_per_ev_fu": 1.72, "e_form_ev_per_atom": 0.142, "energy_ev_per_atom": -3.42, "lattice_angstrom": [[2.8172, -4.8795, 0.0000], [2.8172, 4.8795, 0.0000], [0.0000, 0.0000, 6.3251]], "species": ["As", "In", "As", "In", "In", "In", "As"], "frac_coords": [[0.0000, 0.5000, 0.0000], [0.3333, 0.6667, 0.5000], [0.5000, 0.0000, 0.0000], [0.6667, 0.3333, 0.5000], [0.0000, 0.0000, 0.2531], [0.0000, 0.0000, 0.7469], [0.5000, 0.5000, 0.0000]]}

---

Record 14
{"formula": "Sr2ScIr", "functional": "PBE-GGA", "state": "relaxed", "dos_ef_per_ev_fu": 4.59, "e_form_ev_per_atom": 0.288, "energy_ev_per_atom": -4.35, "relative_energy_ev_per_fu": 2.23, "lattice_angstrom": [[6.1422, 0.0065, 0.0000], [2.9277, 5.3995, 0.0000], [-4.5349, -2.7030, 3.1392]], "species": ["Sr", "Ir", "Sc", "Sr"], "frac_coords": [[0.0000, 0.0000, 0.0000], [0.2500, 0.7500, 0.5000], [0.7500, 0.2500, 0.5000], [0.5000, 0.5000, 0.0000]]}

---

Record 15
{"formula": "Sc2WC", "functional": "PBE-GGA", "state": "relaxed", "dos_ef_per_ev_fu": 5.16, "e_form_ev_per_atom": 0.227, "energy_ev_per_atom": -8.48, "lattice_angstrom": [[-2.4369, 8.0121, -0.7542], [-3.1065, -0.2097, 7.8107], [-0.9530, 4.5241, 4.2684]], "species": ["C", "W", "Sc", "C", "W", "Sc", "Sc", "Sc"], "frac_coords": [[0.2500, 0.7500, 0.5000], [0.0000, 0.0000, 0.0000], [0.8750, 0.7304, 0.7500], [0.5000, 0.5000, 0.0000], [0.7500, 0.2500, 0.5000], [0.4804, 0.1250, 0.2500], [0.3750, 0.5196, 0.7500], [0.2696, 0.6250, 0.2500]]}

---

Record 16
{"formula": "CrAgAs2Pt", "functional": "PBE-GGA", "state": "relaxed", "dos_ef_per_ev_fu": 3.00, "e_form_ev_per_atom": 0.693, "energy_ev_per_atom": -4.87, "lattice_angstrom": [[4.8261, 0.0000, 0.0000], [0.0000, 5.1319, 0.0000], [0.0000, 0.0000, 4.8261]], "species": ["As", "Ag", "Cr", "As", "Pt"], "frac_coords": [[0.0000, 0.0000, 0.5000], [0.0000, 0.5000, 0.0000], [0.5000, 0.5000, 0.5000], [0.5000, 0.0000, 0.0000], [0.0000, 0.0000, 0.0000]]}

---

Record 17
{"formula": "GaCoNiIr", "functional": "PBE-GGA", "state": "relaxed", "dos_ef_per_ev_fu": 5.42, "e_form_ev_per_atom": -0.133, "energy_ev_per_atom": -6.33, "lattice_angstrom": [[-2.6500, -2.4417, 2.0921], [-0.9597, -3.7770, -1.4746], [1.3994, -3.4114, 1.9404]], "species": ["Ir", "Ni", "Ga", "Co"], "frac_coords": [[0.7500, 0.7500, 0.7500], [0.2500, 0.2500, 0.2500], [0.5000, 0.5000, 0.5000], [0.0000, 0.0000, 0.0000]]}

---

Record 18
{"formula": "NdY2Tm8", "functional": "PBE-GGA", "state": "relaxed", "dos_ef_per_ev_fu": 18.13, "e_form_ev_per_atom": 0.185, "energy_ev_per_atom": -4.68, "relative_energy_ev_per_fu": 1.72, "lattice_angstrom": [[-6.4662, 1.1748, 0.0925], [-1.0414, -5.4510, -3.5614], [2.7877, -3.6391, 7.5738]], "species": ["Tm", "Tm", "Tm", "Tm", "Tm", "Nd", "Y", "Tm", "Tm", "Y", "Tm"], "frac_coords": [[0.5885, 0.9050, 0.1771], [0.1755, 0.5882, 0.8228], [0.8245, 0.4118, 0.1772], [0.6473, 0.5882, 0.8228], [0.4115, 0.0950, 0.8229], [0.0000, 0.0000, 0.0000], [0.2414, 0.3033, 0.4828], [0.7937, 0.2049, 0.5874], [0.3527, 0.4118, 0.1772], [0.7586, 0.6967, 0.5172], [0.2063, 0.7951, 0.4126]]}

---

Record 19
{"formula": "BiAuSe2N", "functional": "PBE-GGA", "state": "relaxed", "dos_ef_per_ev_fu": 4.86, "energy_ev_per_atom": -3.25, "formation_energy_uncorrected_mev_per_atom": 1244, "relative_energy_ev_per_fu": 2.36, "lattice_angstrom": [[5.5320, 0.0000, 0.0000], [0.0000, 5.5320, 0.0000], [0.0000, 0.0000, 4.3777]], "species": ["Se", "Au", "N", "Se", "Bi"], "frac_coords": [[0.5000, 0.0000, 0.0000], [0.5000, 0.5000, 0.5000], [0.0000, 0.0000, 0.5000], [0.0000, 0.5000, 0.0000], [0.0000, 0.0000, 0.0000]]}

---

Record 20
{"formula": "ScHBr2", "functional": "PBE-GGA", "state": "relaxed", "dos_ef_per_ev_fu": 0.14, "energy_ev_per_atom": -3.77, "lattice_angstrom": [[1.5961, 2.7098, 3.5064], [-1.6325, -0.6076, 4.3762], [2.7880, -1.8432, 3.3189]], "species": ["H", "Br", "Br", "Sc"], "frac_coords": [[0.0000, 0.0000, 0.0000], [0.2500, 0.2500, 0.2500], [0.7500, 0.7500, 0.7500], [0.5000, 0.5000, 0.5000]]}